<one>
This record from Alexandria describes a geometry-optimized CeDy3Ru2 structure. The functional is PBE.

It has space group Ibam (No. 72), with a = 6.7130 Å, b = 13.4799 Å, c = 7.1079 Å, α = 90.00°, β = 90.00° and γ = 90.00°. Symmetry generates all atoms from Ce at (0.0000, 0.0000, 0.0000), Dy at (0.0000, 0.2397, 0.2500), Dy at (0.0000, 0.5000, 0.2500) and Ru at (0.2471, 0.3757, 0.0000).

The total magnetization comes out at 0.8 Bohr magnetons per cell.


<two>
This record from Alexandria describes a geometry-optimized CeDy3Ru2 structure. The functional is PBE.

It has space group Cmcm (No. 63), with a = 9.3629 Å, b = 9.9697 Å, c = 6.2426 Å, α = 90.00°, β = 90.00° and γ = 90.00°. Symmetry generates all atoms from Ce at (0.0000, 0.0684, 0.2500), Dy at (0.0000, 0.4370, 0.2500), Dy at (0.1803, 0.2542, 0.7500) and Ru at (0.2275, 0.0000, 0.0000).

The total magnetization comes out at 0.0 Bohr magnetons per cell.


Relative stability in meV per atom, measured from the most stable structure: <one> 0; <two> 7


<one>
This record from Alexandria describes a geometry-optimized CeDy2Ru2 structure. The functional is PBE.

It has space group C2/m (No. 12), with a = 11.5669 Å, b = 5.2904 Å, c = 8.7571 Å, α = 90.00°, β = 114.42° and γ = 90.00°. Symmetry generates all atoms from Ce at (0.1863, 0.0000, 0.1061), Dy at (0.0184, 0.5000, 0.2298), Dy at (0.1503, 0.0000, 0.5112), Ru at (0.1012, 0.0000, 0.8175) and Ru at (0.1434, 0.5000, 0.6058).

The total magnetization comes out at 0.0 Bohr magnetons per cell.


<two>
This record from Alexandria describes a geometry-optimized CeDy2Ru2 structure. The functional is PBE.

It has space group Immm (No. 71), with a = 4.1806 Å, b = 5.9580 Å, c = 9.1583 Å, α = 90.00°, β = 90.00° and γ = 90.00°. Symmetry generates all atoms from Ce at (0.0000, 0.0000, 0.0000), Dy at (0.0000, 0.5000, 0.1913) and Ru at (0.0000, 0.2413, 0.5000).

The total magnetization comes out at 0.0 Bohr magnetons per cell.


Relative stability in meV per atom, measured from the most stable structure: <one> 117; <two> 0